No. 1
Material: InSbPt2
Method: DFT, PBE
State: relaxed

Its total magnetization is 0.0 μB/cell. The value obtained for the density of states at the Fermi level is 0.337 states/eV per atom. The value obtained for the formation energy (no corrections) is -399 meV per atom. The space-group type is Amm2. As for the crystal system: orthorhombic.

a = 4.087 Å, b = 5.621 Å, c = 5.621 Å
α = 37.78°, β = 90.00°, γ = 90.00°
Element x y z (fractional)
1 In 0.000 0.000 0.000
2 Sb 0.500 0.706 0.706
3 Pt 0.000 0.265 0.265
4 Pt 0.500 0.450 0.450

No. 2
Material: Tm5Sc3
Method: DFT, PBE
State: relaxed

Its total magnetization is 0.0 μB/cell. The value obtained for the density of states at the Fermi level is 1.835 states/eV per atom. As for the energy of formation: 0.015 eV per atom. The space-group type is Pmm2. As for the crystal system: orthorhombic.

a = 3.478 Å, b = 5.390 Å, c = 11.994 Å
α = 90.00°, β = 90.00°, γ = 90.00°
Element x y z (fractional)
1 Tm 0.000 0.000 0.000
2 Tm 0.000 0.000 0.481
3 Tm 0.000 0.500 0.829
4 Tm 0.500 0.000 0.740
5 Tm 0.500 0.500 0.567
6 Sc 0.000 0.500 0.315
7 Sc 0.500 0.000 0.240
8 Sc 0.500 0.500 0.081

No. 3
Material: PmPrNd5Ho2
Method: DFT, PBE
State: relaxed

Its total magnetization is 0.0 μB/cell. The value obtained for the density of states at the Fermi level is 1.540 states/eV per atom. As for the energy of formation: 0.147 eV per atom. The space-group type is Cmc2_1. As for the crystal system: orthorhombic.

a = 10.677 Å, b = 10.677 Å, c = 10.673 Å
α = 90.00°, β = 90.00°, γ = 148.80°
Element x y z (fractional)
1 Pm 0.200 0.800 0.500
2 Pm 0.800 0.200 0.000
3 Pr 0.413 0.587 0.938
4 Pr 0.587 0.413 0.438
5 Nd 0.016 0.984 0.512
6 Nd 0.280 0.720 0.800
7 Nd 0.296 0.704 0.195
8 Nd 0.391 0.609 0.516
9 Nd 0.477 0.523 0.229
10 Nd 0.523 0.477 0.729
11 Nd 0.609 0.391 0.016
12 Nd 0.704 0.296 0.695
13 Nd 0.720 0.280 0.300
14 Nd 0.984 0.016 0.012
15 Ho 0.113 0.887 0.222
16 Ho 0.117 0.883 0.812
17 Ho 0.883 0.117 0.312
18 Ho 0.887 0.113 0.722

Copy entry 1 word for word.
Material: InSbPt2
Method: DFT, PBE
State: relaxed

Its total magnetization is 0.0 μB/cell. The value obtained for the density of states at the Fermi level is 0.337 states/eV per atom. The value obtained for the formation energy (no corrections) is -399 meV per atom. The space-group type is Amm2. As for the crystal system: orthorhombic.

a = 4.087 Å, b = 5.621 Å, c = 5.621 Å
α = 37.78°, β = 90.00°, γ = 90.00°
Element x y z (fractional)
1 In 0.000 0.000 0.000
2 Sb 0.500 0.706 0.706
3 Pt 0.000 0.265 0.265
4 Pt 0.500 0.450 0.450